<one>
# AcPm2Nd6 | Alexandria via LeMat-Bulk | PBE | optimized geometry
# **M_tot**: 0.0 μB per formula unit
# **Theoretical density**: 7.11 g cm⁻³
data_AcPm2Nd6
_cell_length_a 17.571
_cell_length_b 10.113
_cell_length_c 3.633
_cell_angle_alpha 90.00
_cell_angle_beta 90.09
_cell_angle_gamma 90.00
_space_group_name_H-M_alt 'C 1 2/m 1'
_space_group_IT_number 12
loop_
_space_group_symop_operation_xyz
'x,y,z'
'-x,-y,-z'
'-x,y,-z'
'x,-y,z'
'x+1/2,y+1/2,z'
'-x+1/2,-y+1/2,-z'
'-x+1/2,y+1/2,-z'
'x+1/2,-y+1/2,z'
loop_
_atom_site_label
_atom_site_fract_x
_atom_site_fract_y
_atom_site_fract_z
Ac1 0.000 0.000 0.000
Pm1 0.167 0.500 0.000
Nd1 0.000 0.336 0.500
Nd2 0.168 0.169 0.500


<two>
# AcPm2Nd6 | Alexandria via LeMat-Bulk | PBE | optimized geometry
# **M_tot**: 0.0 μB per formula unit
# **Theoretical density**: 7.10 g cm⁻³
data_AcPm2Nd6
_cell_length_a 11.205
_cell_length_b 18.206
_cell_length_c 6.353
_cell_angle_alpha 90.00
_cell_angle_beta 93.74
_cell_angle_gamma 90.00
_space_group_name_H-M_alt 'C 1 2/c 1'
_space_group_IT_number 15
loop_
_space_group_symop_operation_xyz
'x,y,z'
'-x,-y,-z'
'-x,y,-z+1/2'
'x,-y,z+1/2'
'x+1/2,y+1/2,z'
'-x+1/2,-y+1/2,-z'
'-x+1/2,y+1/2,-z+1/2'
'x+1/2,-y+1/2,z+1/2'
loop_
_atom_site_label
_atom_site_fract_x
_atom_site_fract_y
_atom_site_fract_z
Ac1 0.000 0.250 0.250
Pm1 0.250 0.094 0.499
Nd1 0.091 0.074 0.992
Nd2 0.091 0.425 0.993
Nd3 0.161 0.249 0.772


Quick look at relative energies in meV/atom: <one> 0; <two> 48.


<one>
# AcPmNd5 | Alexandria via LeMat-Bulk | PBE | optimized geometry
# **M_tot**: 0.3 μB per formula unit
# **Theoretical density**: 5.26 g cm⁻³
data_AcPmNd5
_cell_length_a 6.126
_cell_length_b 9.122
_cell_length_c 12.363
_cell_angle_alpha 90.00
_cell_angle_beta 90.00
_cell_angle_gamma 90.00
_space_group_name_H-M_alt 'I m m m'
_space_group_IT_number 71
_space_group_name_Hall '-I 2 2'
loop_
_atom_site_label
_atom_site_fract_x
_atom_site_fract_y
_atom_site_fract_z
Ac1 0.000 0.000 0.000
Pm1 0.000 0.000 0.500
Nd1 0.000 0.000 0.258
Nd2 0.000 0.330 0.000
Nd3 0.000 0.500 0.500


<two>
# AcPmNd5 | Alexandria via LeMat-Bulk | PBE | optimized geometry
# **M_tot**: 0.0 μB per formula unit
# **Theoretical density**: 7.02 g cm⁻³
data_AcPmNd5
_cell_length_a 9.018
_cell_length_b 10.217
_cell_length_c 11.881
_cell_angle_alpha 90.00
_cell_angle_beta 109.12
_cell_angle_gamma 90.00
_space_group_name_H-M_alt 'C 1 2/c 1'
_space_group_IT_number 15
loop_
_space_group_symop_operation_xyz
'x,y,z'
'-x,-y,-z'
'-x,y,-z+1/2'
'x,-y,z+1/2'
'x+1/2,y+1/2,z'
'-x+1/2,-y+1/2,-z'
'-x+1/2,y+1/2,-z+1/2'
'x+1/2,-y+1/2,z+1/2'
loop_
_atom_site_label
_atom_site_fract_x
_atom_site_fract_y
_atom_site_fract_z
Ac1 0.250 0.250 0.000
Pm1 0.000 0.241 0.250
Nd1 0.000 0.418 0.750
Nd2 0.124 0.072 0.667
Nd3 0.172 0.397 0.535


Quick look at relative energies in meV/atom: <one> 1040; <two> 0.


<one>
# Ac2Pm2Nd3 | Alexandria via LeMat-Bulk | PBE | optimized geometry
# **M_tot**: 0.0 μB per formula unit
# **Theoretical density**: 7.41 g cm⁻³
data_Ac2Pm2Nd3
_cell_length_a 5.918
_cell_length_b 3.626
_cell_length_c 12.638
_cell_angle_alpha 90.00
_cell_angle_beta 103.44
_cell_angle_gamma 90.00
_space_group_name_H-M_alt 'P 1 2/m 1'
_space_group_IT_number 10
loop_
_space_group_symop_operation_xyz
'x,y,z'
'-x,-y,-z'
'-x,y,-z'
'x,-y,z'
loop_
_atom_site_label
_atom_site_fract_x
_atom_site_fract_y
_atom_site_fract_z
Ac1 0.077 0.000 0.156
Pm1 0.354 0.500 0.707
Nd1 0.220 0.000 0.440
Nd2 0.500 0.000 0.000


<two>
# Ac2Pm2Nd3 | Alexandria via LeMat-Bulk | PBE | optimized geometry
# **M_tot**: 0.0 μB per formula unit
# **Theoretical density**: 7.32 g cm⁻³
data_Ac2Pm2Nd3
_cell_length_a 18.204
_cell_length_b 3.703
_cell_length_c 9.043
_cell_angle_alpha 90.00
_cell_angle_beta 118.83
_cell_angle_gamma 90.00
_space_group_name_H-M_alt 'C 1 2/m 1'
_space_group_IT_number 12
loop_
_space_group_symop_operation_xyz
'x,y,z'
'-x,-y,-z'
'-x,y,-z'
'x,-y,z'
'x+1/2,y+1/2,z'
'-x+1/2,-y+1/2,-z'
'-x+1/2,y+1/2,-z'
'x+1/2,-y+1/2,z'
loop_
_atom_site_label
_atom_site_fract_x
_atom_site_fract_y
_atom_site_fract_z
Ac1 0.145 0.000 0.325
Pm1 0.066 0.500 0.906
Nd1 0.000 0.000 0.500
Nd2 0.211 0.000 0.810


Quick look at relative energies in meV/atom: <one> 38; <two> 0.


<one>
# AcPm6Nd2 | Alexandria via LeMat-Bulk | PBE | optimized geometry
# **M_tot**: 0.0 μB per formula unit
# **Theoretical density**: 7.15 g cm⁻³
data_AcPm6Nd2
_cell_length_a 3.728
_cell_length_b 9.207
_cell_length_c 9.820
_cell_angle_alpha 103.37
_cell_angle_beta 100.88
_cell_angle_gamma 90.08
_space_group_name_H-M_alt 'P -1'
_space_group_IT_number 2
loop_
_space_group_symop_operation_xyz
'x,y,z'
'-x,-y,-z'
loop_
_atom_site_label
_atom_site_fract_x
_atom_site_fract_y
_atom_site_fract_z
Ac1 0.000 0.000 0.000
Pm1 0.076 0.666 0.151
Pm2 0.258 0.332 0.517
Pm3 0.331 0.001 0.662
Nd1 0.406 0.663 0.812


<two>
# AcPm6Nd2 | Alexandria via LeMat-Bulk | PBE | optimized geometry
# **M_tot**: 0.0 μB per formula unit
# **Theoretical density**: 6.25 g cm⁻³
data_AcPm6Nd2
_cell_length_a 6.352
_cell_length_b 6.352
_cell_length_c 18.253
_cell_angle_alpha 90.00
_cell_angle_beta 90.00
_cell_angle_gamma 90.00
_space_group_name_H-M_alt 'P 42/m n m'
_space_group_IT_number 136
_space_group_name_Hall '-P 4n 2n'
loop_
_atom_site_label
_atom_site_fract_x
_atom_site_fract_y
_atom_site_fract_z
Ac1 0.000 0.000 0.000
Pm1 0.167 0.167 0.500
Pm2 0.177 0.177 0.183
Nd1 0.000 0.000 0.350


Quick look at relative energies in meV/atom: <one> 0; <two> 791.


<one>
# Ac2Pm2Nd7 | Alexandria via LeMat-Bulk | PBE | optimized geometry
# **M_tot**: 0.0 μB per formula unit
# **Theoretical density**: 6.99 g cm⁻³
data_Ac2Pm2Nd7
_cell_length_a 14.278
_cell_length_b 7.163
_cell_length_c 8.885
_cell_angle_alpha 90.00
_cell_angle_beta 113.50
_cell_angle_gamma 90.00
_space_group_name_H-M_alt 'C 1 2/m 1'
_space_group_IT_number 12
loop_
_space_group_symop_operation_xyz
'x,y,z'
'-x,-y,-z'
'-x,y,-z'
'x,-y,z'
'x+1/2,y+1/2,z'
'-x+1/2,-y+1/2,-z'
'-x+1/2,y+1/2,-z'
'x+1/2,-y+1/2,z'
loop_
_atom_site_label
_atom_site_fract_x
_atom_site_fract_y
_atom_site_fract_z
Ac1 0.000 0.247 0.000
Pm1 0.176 0.000 0.394
Nd1 0.000 0.000 0.500
Nd2 0.074 0.500 0.392
Nd3 0.196 0.247 0.789


<two>
# Ac2Pm2Nd7 | Alexandria via LeMat-Bulk | PBE | optimized geometry
# **M_tot**: 0.0 μB per formula unit
# **Theoretical density**: 7.10 g cm⁻³
data_Ac2Pm2Nd7
_cell_length_a 11.601
_cell_length_b 12.131
_cell_length_c 6.294
_cell_angle_alpha 90.00
_cell_angle_beta 112.08
_cell_angle_gamma 90.00
_space_group_name_H-M_alt 'C 1 2/m 1'
_space_group_IT_number 12
loop_
_space_group_symop_operation_xyz
'x,y,z'
'-x,-y,-z'
'-x,y,-z'
'x,-y,z'
'x+1/2,y+1/2,z'
'-x+1/2,-y+1/2,-z'
'-x+1/2,y+1/2,-z'
'x+1/2,-y+1/2,z'
loop_
_atom_site_label
_atom_site_fract_x
_atom_site_fract_y
_atom_site_fract_z
Ac1 0.226 0.000 0.089
Pm1 0.000 0.230 0.000
Nd1 0.000 0.000 0.500
Nd2 0.083 0.500 0.302
Nd3 0.173 0.235 0.667


Quick look at relative energies in meV/atom: <one> 99; <two> 0.


<one>
# Ac2Pm7Nd3 | Alexandria via LeMat-Bulk | PBE | optimized geometry
# **M_tot**: 0.0 μB per formula unit
# **Theoretical density**: 7.13 g cm⁻³
data_Ac2Pm7Nd3
_cell_length_a 6.097
_cell_length_b 39.052
_cell_length_c 3.721
_cell_angle_alpha 90.00
_cell_angle_beta 90.00
_cell_angle_gamma 90.00
_space_group_name_H-M_alt 'C m m m'
_space_group_IT_number 65
_space_group_name_Hall '-C 2 2'
loop_
_atom_site_label
_atom_site_fract_x
_atom_site_fract_y
_atom_site_fract_z
Ac1 0.000 0.176 0.000
Pm1 0.000 0.000 0.000
Pm2 0.000 0.087 0.500
Pm3 0.000 0.272 0.000
Pm4 0.000 0.428 0.000
Nd1 0.000 0.352 0.500
Nd2 0.000 0.500 0.500


<two>
# Ac2Pm7Nd3 | Alexandria via LeMat-Bulk | PBE | optimized geometry
# **M_tot**: 0.0 μB per formula unit
# **Theoretical density**: 7.21 g cm⁻³
data_Ac2Pm7Nd3
_cell_length_a 6.554
_cell_length_b 3.675
_cell_length_c 18.293
_cell_angle_alpha 90.00
_cell_angle_beta 96.53
_cell_angle_gamma 90.00
_space_group_name_H-M_alt 'P 1 2/m 1'
_space_group_IT_number 10
loop_
_space_group_symop_operation_xyz
'x,y,z'
'-x,-y,-z'
'-x,y,-z'
'x,-y,z'
loop_
_atom_site_label
_atom_site_fract_x
_atom_site_fract_y
_atom_site_fract_z
Ac1 0.057 0.000 0.173
Pm1 0.000 0.500 0.500
Pm2 0.229 0.000 0.663
Pm3 0.260 0.000 0.000
Pm4 0.277 0.500 0.339
Nd1 0.452 0.500 0.839
Nd2 0.500 0.000 0.500


Quick look at relative energies in meV/atom: <one> 64; <two> 0.


<one>
# Ac3Pm2Nd8 | Alexandria via LeMat-Bulk | PBE | optimized geometry
# **M_tot**: 0.0 μB per formula unit
# **Theoretical density**: 7.17 g cm⁻³
data_Ac3Pm2Nd8
_cell_length_a 12.081
_cell_length_b 22.142
_cell_length_c 3.679
_cell_angle_alpha 90.00
_cell_angle_beta 90.00
_cell_angle_gamma 90.00
_space_group_name_H-M_alt 'P b a m'
_space_group_IT_number 55
loop_
_space_group_symop_operation_xyz
'x,y,z'
'-x,-y,-z'
'-x,-y,z'
'x,y,-z'
'x+1/2,-y+1/2,-z'
'-x+1/2,y+1/2,z'
'-x+1/2,y+1/2,-z'
'x+1/2,-y+1/2,z'
loop_
_atom_site_label
_atom_site_fract_x
_atom_site_fract_y
_atom_site_fract_z
Ac1 0.000 0.000 0.000
Ac2 0.141 0.299 0.000
Pm1 0.177 0.899 0.500
Nd1 0.047 0.431 0.500
Nd2 0.058 0.157 0.000
Nd3 0.136 0.712 0.500
Nd4 0.209 0.555 0.000


<two>
# Ac3Pm2Nd8 | Alexandria via LeMat-Bulk | PBE | optimized geometry
# **M_tot**: 0.0 μB per formula unit
# **Theoretical density**: 6.99 g cm⁻³
data_Ac3Pm2Nd8
_cell_length_a 21.163
_cell_length_b 8.133
_cell_length_c 5.866
_cell_angle_alpha 90.00
_cell_angle_beta 90.19
_cell_angle_gamma 90.00
_space_group_name_H-M_alt 'C 1 2/m 1'
_space_group_IT_number 12
loop_
_space_group_symop_operation_xyz
'x,y,z'
'-x,-y,-z'
'-x,y,-z'
'x,-y,z'
'x+1/2,y+1/2,z'
'-x+1/2,-y+1/2,-z'
'-x+1/2,y+1/2,-z'
'x+1/2,-y+1/2,z'
loop_
_atom_site_label
_atom_site_fract_x
_atom_site_fract_y
_atom_site_fract_z
Ac1 0.000 0.000 0.000
Ac2 0.000 0.287 0.500
Pm1 0.240 0.000 0.994
Nd1 0.113 0.298 0.001
Nd2 0.136 0.000 0.497
Nd3 0.178 0.500 0.505


Quick look at relative energies in meV/atom: <one> 0; <two> 89.


<one>
# Ac2PmNd3 | Alexandria via LeMat-Bulk | PBE | optimized geometry
# **M_tot**: 0.0 μB per formula unit
# **Theoretical density**: 7.51 g cm⁻³
data_Ac2PmNd3
_cell_length_a 7.296
_cell_length_b 10.377
_cell_length_c 6.026
_cell_angle_alpha 90.00
_cell_angle_beta 90.00
_cell_angle_gamma 90.00
_space_group_name_H-M_alt 'P n n m'
_space_group_IT_number 58
loop_
_space_group_symop_operation_xyz
'x,y,z'
'-x,-y,-z'
'-x,-y,z'
'x,y,-z'
'x+1/2,-y+1/2,-z+1/2'
'-x+1/2,y+1/2,z+1/2'
'-x+1/2,y+1/2,-z+1/2'
'x+1/2,-y+1/2,z+1/2'
loop_
_atom_site_label
_atom_site_fract_x
_atom_site_fract_y
_atom_site_fract_z
Ac1 0.250 0.167 0.000
Pm1 0.000 0.000 0.500
Nd1 0.000 0.500 0.000
Nd2 0.250 0.332 0.500


<two>
# Ac2PmNd3 | Alexandria via LeMat-Bulk | PBE | optimized geometry
# **M_tot**: 0.0 μB per formula unit
# **Theoretical density**: 7.47 g cm⁻³
data_Ac2PmNd3
_cell_length_a 5.367
_cell_length_b 8.455
_cell_length_c 11.312
_cell_angle_alpha 72.48
_cell_angle_beta 76.28
_cell_angle_gamma 71.60
_space_group_name_H-M_alt 'P -1'
_space_group_IT_number 2
loop_
_space_group_symop_operation_xyz
'x,y,z'
'-x,-y,-z'
loop_
_atom_site_label
_atom_site_fract_x
_atom_site_fract_y
_atom_site_fract_z
Ac1 0.036 0.295 0.133
Ac2 0.292 0.049 0.868
Pm1 0.373 0.622 0.132
Nd1 0.124 0.870 0.382
Nd2 0.210 0.461 0.619
Nd3 0.454 0.209 0.384


Quick look at relative energies in meV/atom: <one> 61; <two> 0.


<one>
# Ac8Pm2Nd3 | Alexandria via LeMat-Bulk | PBE | optimized geometry
# **M_tot**: 0.0 μB per formula unit
# **Theoretical density**: 7.80 g cm⁻³
data_Ac8Pm2Nd3
_cell_length_a 14.076
_cell_length_b 12.648
_cell_length_c 6.563
_cell_angle_alpha 90.00
_cell_angle_beta 112.39
_cell_angle_gamma 90.00
_space_group_name_H-M_alt 'C 1 2/m 1'
_space_group_IT_number 12
loop_
_space_group_symop_operation_xyz
'x,y,z'
'-x,-y,-z'
'-x,y,-z'
'x,-y,z'
'x+1/2,y+1/2,z'
'-x+1/2,-y+1/2,-z'
'-x+1/2,y+1/2,-z'
'x+1/2,-y+1/2,z'
loop_
_atom_site_label
_atom_site_fract_x
_atom_site_fract_y
_atom_site_fract_z
Ac1 0.064 0.000 0.296
Ac2 0.145 0.500 0.578
Ac3 0.163 0.257 0.156
Pm1 0.203 0.000 0.859
Nd1 0.000 0.244 0.500
Nd2 0.000 0.500 0.000


<two>
# Ac8Pm2Nd3 | Alexandria via LeMat-Bulk | PBE | optimized geometry
# **M_tot**: 0.0 μB per formula unit
# **Theoretical density**: 7.60 g cm⁻³
data_Ac8Pm2Nd3
_cell_length_a 6.475
_cell_length_b 9.697
_cell_length_c 10.175
_cell_angle_alpha 63.17
_cell_angle_beta 81.04
_cell_angle_gamma 77.11
_space_group_name_H-M_alt 'P -1'
_space_group_IT_number 2
loop_
_space_group_symop_operation_xyz
'x,y,z'
'-x,-y,-z'
loop_
_atom_site_label
_atom_site_fract_x
_atom_site_fract_y
_atom_site_fract_z
Ac1 0.009 0.368 0.223
Ac2 0.016 0.093 0.636
Ac3 0.485 0.636 0.289
Ac4 0.490 0.076 0.144
Pm1 0.464 0.804 0.571
Nd1 0.001 0.197 0.955
Nd2 0.500 0.500 0.000


Quick look at relative energies in meV/atom: <one> 33; <two> 0.


<one>
# AcPmNd4 | Alexandria via LeMat-Bulk | PBE | optimized geometry
# **M_tot**: 0.0 μB per formula unit
# **Theoretical density**: 7.06 g cm⁻³
data_AcPmNd4
_cell_length_a 6.730
_cell_length_b 11.627
_cell_length_c 11.402
_cell_angle_alpha 90.00
_cell_angle_beta 90.00
_cell_angle_gamma 90.00
_space_group_name_H-M_alt 'C m c m'
_space_group_IT_number 63
_space_group_name_Hall '-C 2c 2'
loop_
_atom_site_label
_atom_site_fract_x
_atom_site_fract_y
_atom_site_fract_z
Ac1 0.000 0.000 0.000
Pm1 0.000 0.173 0.250
Nd1 0.000 0.332 0.575
Nd2 0.241 0.414 0.250


<two>
# AcPmNd4 | Alexandria via LeMat-Bulk | PBE | optimized geometry
# **M_tot**: 0.0 μB per formula unit
# **Theoretical density**: 7.07 g cm⁻³
data_AcPmNd4
_cell_length_a 7.209
_cell_length_b 20.347
_cell_length_c 6.081
_cell_angle_alpha 90.00
_cell_angle_beta 90.72
_cell_angle_gamma 90.00
_space_group_name_H-M_alt 'C 1 2/c 1'
_space_group_IT_number 15
loop_
_space_group_symop_operation_xyz
'x,y,z'
'-x,-y,-z'
'-x,y,-z+1/2'
'x,-y,z+1/2'
'x+1/2,y+1/2,z'
'-x+1/2,-y+1/2,-z'
'-x+1/2,y+1/2,-z+1/2'
'x+1/2,-y+1/2,z+1/2'
loop_
_atom_site_label
_atom_site_fract_x
_atom_site_fract_y
_atom_site_fract_z
Ac1 0.000 0.053 0.250
Pm1 0.000 0.451 0.750
Nd1 0.244 0.384 0.249
Nd2 0.245 0.290 0.749


Quick look at relative energies in meV/atom: <one> 77; <two> 0.